Entry 1:
The following is a DFT calculation (PBE) of an optimized crystal structure of Nd2Zn.

As for the volume: 84.552 A^3/atom. For the formation enthalpy at 0 K, the calculation gives 1.400 eV per atom.

The space group is Fd-3m (No. 227, origin choice 2) and the conventional cell measures 12.660, 12.660 and 12.660 Å, with angles of 90.00, 90.00 and 90.00 degrees. Symmetry generates all atoms from Nd at (0.000, 0.000, 0.000) and Zn at (0.125, 0.125, 0.125).


Entry 2:
The following is a DFT calculation (PBE) of an optimized crystal structure of Nd3Zn22.

As for the volume: 16.625 A^3/atom. For the formation enthalpy at 0 K, the calculation gives -0.277 eV per atom.

The space group is I4_1/amd (No. 141, origin choice 2) and the conventional cell measures 8.858, 8.858 and 21.187 Å, with angles of 90.00, 90.00 and 90.00 degrees. Symmetry generates all atoms from Nd at (0.000, 0.250, 0.254), Nd at (0.000, 0.250, 0.875), Zn at (0.000, 0.000, 0.000), Zn at (0.000, 0.028, 0.376), Zn at (0.000, 0.098, 0.737), Zn at (0.000, 0.103, 0.117) and Zn at (0.231, 0.008, 0.189).


Entry 3:
The following is a DFT calculation (PBE) of an optimized crystal structure of NdZr.

The value obtained for the offset from the most stable computed form is 36 meV per atom. As for the volume: 28.938 A^3/atom. For the formation enthalpy at 0 K, the calculation gives 0.125 eV per atom.

The space group is Amm2 (No. 38) and the conventional cell measures 5.435, 18.479 and 5.762 Å, with angles of 90.00, 90.00 and 90.00 degrees. Symmetry generates all atoms from Nd at (0.000, 0.000, 0.000), Nd at (0.000, 0.189, 0.053), Nd at (0.500, 0.184, 0.640), Zr at (0.000, 0.084, 0.509), Zr at (0.500, 0.000, 0.660) and Zr at (0.500, 0.084, 0.183).


Entry 4:
The following is a DFT calculation (PBE) of an optimized crystal structure of NdZr.

The value obtained for the offset from the most stable computed form is 56 meV per atom. As for the volume: 28.528 A^3/atom. For the formation enthalpy at 0 K, the calculation gives 0.145 eV per atom.

The space group is Pmm2 (No. 25) and the conventional cell measures 5.479, 6.999 and 5.951 Å, with angles of 90.00, 90.00 and 90.00 degrees. Symmetry generates all atoms from Nd at (0.000, 0.000, 0.000), Nd at (0.000, 0.272, 0.533), Nd at (0.500, 0.000, 0.371), Zr at (0.000, 0.500, 0.037), Zr at (0.500, 0.286, 0.866) and Zr at (0.500, 0.500, 0.327).


Entry 5:
The following is a DFT calculation (PBE) of an optimized crystal structure of NdZr.

The value obtained for the offset from the most stable computed form is 43 meV per atom. As for the volume: 28.498 A^3/atom. For the formation enthalpy at 0 K, the calculation gives 0.132 eV per atom.

The space group is Pmm2 (No. 25) and the conventional cell measures 5.474, 13.972 and 5.962 Å, with angles of 90.00, 90.00 and 90.00 degrees. Symmetry generates all atoms from Nd at (0.000, 0.118, 0.000), Nd at (0.000, 0.248, 0.473), Nd at (0.500, 0.251, 0.840), Nd at (0.500, 0.381, 0.314), Zr at (0.000, 0.000, 0.501), Zr at (0.000, 0.394, 0.979), Zr at (0.000, 0.500, 0.520), Zr at (0.500, 0.000, 0.793), Zr at (0.500, 0.105, 0.334) and Zr at (0.500, 0.500, 0.812).


Entry 6:
The following is a DFT calculation (PBE) of an optimized crystal structure of NdZr.

The value obtained for the offset from the most stable computed form is 65 meV per atom. As for the volume: 28.399 A^3/atom. For the formation enthalpy at 0 K, the calculation gives 0.154 eV per atom.

The space group is Pmc2_1 (No. 26) and the conventional cell measures 5.502, 10.478 and 5.911 Å, with angles of 90.00, 90.00 and 90.00 degrees. Symmetry generates all atoms from Nd at (0.000, 0.076, 0.000), Nd at (0.000, 0.259, 0.539), Nd at (0.500, 0.259, 0.167), Zr at (0.000, 0.440, 0.992), Zr at (0.500, 0.076, 0.678) and Zr at (0.500, 0.430, 0.698).


Entry 7:
The following is a DFT calculation (PBE) of an optimized crystal structure of NdZr.

The value obtained for the offset from the most stable computed form is 94 meV per atom. As for the volume: 28.418 A^3/atom. For the formation enthalpy at 0 K, the calculation gives 0.183 eV per atom.

The space group is Pnma (No. 62) and the conventional cell measures 5.952, 5.523 and 6.915 Å, with angles of 90.00, 90.00 and 90.00 degrees. Symmetry generates all atoms from Nd at (0.084, 0.250, 0.128) and Zr at (0.057, 0.250, 0.621).


Entry 8:
The following is a DFT calculation (PBE) of an optimized crystal structure of NdZr.

The value obtained for the offset from the most stable computed form is 858 meV per atom. As for the volume: 29.939 A^3/atom. For the formation enthalpy at 0 K, the calculation gives 0.947 eV per atom.

The space group is Fm-3m (No. 225) and the conventional cell measures 6.210, 6.210 and 6.210 Å, with angles of 90.00, 90.00 and 90.00 degrees. Symmetry generates all atoms from Nd at (0.000, 0.000, 0.000) and Zr at (0.000, 0.000, 0.500).


Entry 9:
The following is a DFT calculation (PBE) of an optimized crystal structure of NdZr.

The value obtained for the offset from the most stable computed form is 19 meV per atom. As for the volume: 28.543 A^3/atom. For the formation enthalpy at 0 K, the calculation gives 0.108 eV per atom.

The space group is Pmmn (No. 59, origin choice 2) and the conventional cell measures 3.370, 5.457 and 12.415 Å, with angles of 90.00, 90.00 and 90.00 degrees. Symmetry generates all atoms from Nd at (0.250, 0.250, 0.063), Nd at (0.250, 0.750, 0.227), Zr at (0.250, 0.250, 0.534) and Zr at (0.250, 0.750, 0.676).


Entry 10:
The following is a DFT calculation (PBE) of an optimized crystal structure of NdZr.

The value obtained for the offset from the most stable computed form is 53 meV per atom. As for the volume: 28.762 A^3/atom. For the formation enthalpy at 0 K, the calculation gives 0.142 eV per atom.

The space group is Pmc2_1 (No. 26) and the conventional cell measures 5.445, 10.963 and 5.782 Å, with angles of 90.00, 90.00 and 90.00 degrees. Symmetry generates all atoms from Nd at (0.000, 0.080, 0.000), Nd at (0.000, 0.397, 0.042), Nd at (0.500, 0.389, 0.633), Zr at (0.000, 0.229, 0.503), Zr at (0.500, 0.085, 0.652) and Zr at (0.500, 0.215, 0.179).


Entry 11:
The following is a DFT calculation (PBE) of an optimized crystal structure of NdZr.

The value obtained for the offset from the most stable computed form is 42 meV per atom. As for the volume: 28.681 A^3/atom. For the formation enthalpy at 0 K, the calculation gives 0.131 eV per atom.

The space group is Pmmn (No. 59, origin choice 2) and the conventional cell measures 5.486, 13.718 and 6.098 Å, with angles of 90.00, 90.00 and 90.00 degrees. Symmetry generates all atoms from Nd at (0.250, 0.098, 0.127), Nd at (0.250, 0.250, 0.674), Nd at (0.250, 0.750, 0.701), Zr at (0.250, 0.008, 0.632) and Zr at (0.250, 0.629, 0.218).


Entry 12:
The following is a DFT calculation (PBE) of an optimized crystal structure of NdZr.

The value obtained for the offset from the most stable computed form is 1999 meV per atom. As for the volume: 34.771 A^3/atom. For the formation enthalpy at 0 K, the calculation gives 2.088 eV per atom.

The space group is F-43m (No. 216) and the conventional cell measures 6.528, 6.528 and 6.528 Å, with angles of 90.00, 90.00 and 90.00 degrees. Symmetry generates all atoms from Nd at (0.000, 0.000, 0.000) and Zr at (0.250, 0.250, 0.750).


Entry 13:
The following is a DFT calculation (PBE) of an optimized crystal structure of NdZr.

The value obtained for the offset from the most stable computed form is 71 meV per atom. As for the volume: 28.589 A^3/atom. For the formation enthalpy at 0 K, the calculation gives 0.160 eV per atom.

The space group is Pmma (No. 51) and the conventional cell measures 5.455, 3.402 and 6.162 Å, with angles of 90.00, 90.00 and 90.00 degrees. Symmetry generates all atoms from Nd at (0.250, 0.000, 0.162) and Zr at (0.250, 0.500, 0.625).


Entry 14:
The following is a DFT calculation (PBE) of an optimized crystal structure of NdZr.

The value obtained for the offset from the most stable computed form is 59 meV per atom. As for the volume: 28.448 A^3/atom. For the formation enthalpy at 0 K, the calculation gives 0.148 eV per atom.

The space group is Pmmn (No. 59, origin choice 2) and the conventional cell measures 5.504, 6.832 and 12.105 Å, with angles of 90.00, 90.00 and 90.00 degrees. Symmetry generates all atoms from Nd at (0.250, 0.004, 0.088), Nd at (0.250, 0.250, 0.343), Nd at (0.250, 0.250, 0.808), Zr at (0.250, 0.005, 0.578), Zr at (0.250, 0.750, 0.362) and Zr at (0.250, 0.750, 0.815).


Entry 15:
The following is a DFT calculation (PBE) of an optimized crystal structure of NdZr.

The value obtained for the offset from the most stable computed form is 0 meV per atom. As for the volume: 29.460 A^3/atom. For the formation enthalpy at 0 K, the calculation gives 0.089 eV per atom.

The space group is Pbcm (No. 57) and the conventional cell measures 7.821, 5.614 and 5.368 Å, with angles of 90.00, 90.00 and 90.00 degrees. Symmetry generates all atoms from Nd at (0.160, 0.030, 0.250) and Zr at (0.414, 0.579, 0.250).


Entry 16:
The following is a DFT calculation (PBE) of an optimized crystal structure of NdZr.

The value obtained for the offset from the most stable computed form is 86 meV per atom. As for the volume: 28.462 A^3/atom. For the formation enthalpy at 0 K, the calculation gives 0.175 eV per atom.

The space group is P-6m2 (No. 187) and the conventional cell measures 6.9188, 6.9188 and 5.4925 Å, with angles of 90.00, 90.00 and 120.00 degrees. Symmetry generates all atoms from Nd at (0.0000, 0.0000, 0.0000), Nd at (0.3438, 0.1719, 0.5000), Zr at (0.0309, 0.5155, 0.0000) and Zr at (0.3333, 0.6667, 0.5000).


Entry 17:
The following is a DFT calculation (PBE) of an optimized crystal structure of NdZr.

The value obtained for the offset from the most stable computed form is 92 meV per atom. As for the volume: 28.151 A^3/atom. For the formation enthalpy at 0 K, the calculation gives 0.181 eV per atom.

The space group is P2_1/m (No. 11) and the conventional cell measures 6.823, 5.560 and 9.066 Å, with angles of 90.00, 100.82 and 90.00 degrees. Symmetry generates all atoms from Nd at (0.031, 0.250, 0.123), Nd at (0.204, 0.250, 0.764), Nd at (0.321, 0.750, 0.232), Zr at (0.151, 0.750, 0.550), Zr at (0.374, 0.250, 0.438) and Zr at (0.474, 0.750, 0.890).


Entry 18:
The following is a DFT calculation (PBE) of an optimized crystal structure of NdZr.

The value obtained for the offset from the most stable computed form is 61 meV per atom. As for the volume: 28.355 A^3/atom. For the formation enthalpy at 0 K, the calculation gives 0.150 eV per atom.

The space group is Amm2 (No. 38) and the conventional cell measures 5.489, 17.341 and 5.958 Å, with angles of 90.00, 90.00 and 90.00 degrees. Symmetry generates all atoms from Nd at (0.000, 0.000, 0.000), Nd at (0.000, 0.104, 0.534), Nd at (0.500, 0.110, 0.177), Zr at (0.000, 0.214, 0.989), Zr at (0.500, 0.000, 0.675) and Zr at (0.500, 0.205, 0.698).


Entry 19:
The following is a DFT calculation (PBE) of an optimized crystal structure of NdZr.

The value obtained for the offset from the most stable computed form is 36 meV per atom. As for the volume: 28.665 A^3/atom. For the formation enthalpy at 0 K, the calculation gives 0.126 eV per atom.

The space group is P2_1/m (No. 11) and the conventional cell measures 6.789, 5.438 and 9.361 Å, with angles of 90.00, 95.55 and 90.00 degrees. Symmetry generates all atoms from Nd at (0.133, 0.250, 0.051), Nd at (0.231, 0.750, 0.279), Nd at (0.364, 0.750, 0.895), Zr at (0.031, 0.750, 0.598), Zr at (0.264, 0.250, 0.678) and Zr at (0.491, 0.250, 0.412).


Entry 20:
The following is a DFT calculation (PBE) of an optimized crystal structure of NdZr.

The value obtained for the offset from the most stable computed form is 39 meV per atom. As for the volume: 28.492 A^3/atom. For the formation enthalpy at 0 K, the calculation gives 0.128 eV per atom.

The space group is P2_1/m (No. 11) and the conventional cell measures 6.805, 5.490 and 9.309 Å, with angles of 90.00, 100.58 and 90.00 degrees. Symmetry generates all atoms from Nd at (0.022, 0.250, 0.116), Nd at (0.310, 0.750, 0.248), Nd at (0.463, 0.750, 0.875), Zr at (0.129, 0.750, 0.554), Zr at (0.179, 0.250, 0.742) and Zr at (0.352, 0.250, 0.460).